4
Lattice="3.2755 0.0000 0.0000 0.0000 4.5952 -0.0592 -1.6378 -2.2393 4.8066" Properties=species:S:1:pos:R:3 comment="HfNb2Re, relaxed, DFT PBE" density_g_cm3=12.7 e_tot_ev_per_atom=-10.861 delta_e_f_ev_per_atom=-0.225 vol_a3_per_atom=17.98 pbc="T T T"
Re 1.6378 0.0000 0.0000
Nb 1.6378 2.3289 2.4965
Nb 0.0000 0.0270 2.2508
Hf 0.0000 2.2976 -0.0296

=====

7
Lattice="4.0708 0.0000 0.0000 -2.0354 5.2856 0.0155 0.0000 -1.2028 6.5281" Properties=species:S:1:pos:R:3 comment="Na2Ga3Si2, relaxed, DFT PBE" density_g_cm3=3.7 e_tot_ev_per_atom=-3.188 e_form_raw_ev_per_atom=0.0353 vol_a3_per_atom=20.08 pbc="T T T"
Na 0.0000 3.0150 4.3309
Na 2.0354 1.0678 2.2127
Si 2.0354 4.0752 2.2589
Si 0.0000 0.0076 4.2847
Ga 2.0354 0.8568 5.6626
Ga 0.0000 0.0000 0.0000
Ga 0.0000 3.2259 0.8810